A PBEsol-optimized structure of TcMo2P, computed with SCAN.

Calculated values
Final energy: -115.477 eV/cell
ΔE_f: -62 meV per atom

abc: 2.8676 3.9968 4.8972
angles: 90.00 90.00 90.00
Atoms (fractional coordinates):
Mo 0.0000 0.0000 0.7582
Mo 0.0000 0.0000 0.2418
Tc 0.5000 0.5000 0.5000
P 0.5000 0.5000 0.0000